(1)
# LaNiW2 | Alexandria via LeMat-Bulk | SCAN | single point on PBEsol structure
data_LaNiW2
_cell_length_a 2.790
_cell_length_b 3.443
_cell_length_c 7.472
_cell_angle_alpha 90.00
_cell_angle_beta 90.00
_cell_angle_gamma 90.00
_symmetry_space_group_name_H-M 'P m m m'
_symmetry_Int_Tables_number 47
_symmetry_space_group_name_Hall '-P 2 2'
loop_
_atom_site_label
_atom_site_type_symbol
_atom_site_fract_x
_atom_site_fract_y
_atom_site_fract_z
La1 La 0.000 0.000 0.000
Ni1 Ni 0.000 0.000 0.500
W1 W 0.500 0.500 0.327
# - Energy relative to the lowest polymorph listed for this composition: 0.000 eV per atom
# - Calculated formation energy: 0.6441 eV/atom
# - E_tot: -196.08 eV per cell
# - Crystal system: orthorhombic

---

(2)
# LiFeF4 | Alexandria via LeMat-Bulk | SCAN | single point on PBEsol structure
data_LiFeF4
_cell_length_a 12.2818
_cell_length_b 12.2818
_cell_length_c 5.7583
_cell_angle_alpha 90.00
_cell_angle_beta 90.00
_cell_angle_gamma 120.00
_symmetry_space_group_name_H-M 'R 3 m'
_symmetry_Int_Tables_number 160
_symmetry_space_group_name_Hall 'R 3 -2"'
loop_
_atom_site_label
_atom_site_type_symbol
_atom_site_fract_x
_atom_site_fract_y
_atom_site_fract_z
Li1 Li 0.1854 0.0927 0.0000
Fe1 Fe 0.0122 0.5061 0.7787
F1 F 0.0825 0.1649 0.9566
F2 F 0.1032 0.4111 0.9164
F3 F 0.2047 0.4093 0.3798
# - Energy relative to the lowest polymorph listed for this composition: 0.011 eV per atom
# - Formation energy without anion corrections: -2.665 eV/atom
# - E_tot: -456.02 eV per cell
# - Crystal system: trigonal

---

(3)
# S2OF | Alexandria via LeMat-Bulk | SCAN | single point on PBEsol structure
data_S2OF
_cell_length_a 2.7762
_cell_length_b 2.7762
_cell_length_c 21.2166
_cell_angle_alpha 90.00
_cell_angle_beta 90.00
_cell_angle_gamma 120.00
_symmetry_space_group_name_H-M 'R -3 m'
_symmetry_Int_Tables_number 166
_symmetry_space_group_name_Hall '-R 3 2"'
loop_
_atom_site_label
_atom_site_type_symbol
_atom_site_fract_x
_atom_site_fract_y
_atom_site_fract_z
S1 S 0.0000 0.0000 0.0770
O1 O 0.0000 0.0000 0.0000
F1 F 0.0000 0.0000 0.5000
# - Energy relative to the lowest polymorph listed for this composition: 0.000 eV per atom
# - Formation energy without anion corrections: 0.008 eV/atom
# - E_tot: -86.99 eV per cell
# - Crystal system: trigonal

---

(4)
# BaSbPt3 | Alexandria via LeMat-Bulk | SCAN | single point on PBEsol structure
data_BaSbPt3
_cell_length_a 5.015
_cell_length_b 5.015
_cell_length_c 5.015
_cell_angle_alpha 90.00
_cell_angle_beta 90.00
_cell_angle_gamma 90.00
_symmetry_space_group_name_H-M 'P m -3 m'
_symmetry_Int_Tables_number 221
_symmetry_space_group_name_Hall '-P 4 2 3'
loop_
_atom_site_label
_atom_site_type_symbol
_atom_site_fract_x
_atom_site_fract_y
_atom_site_fract_z
Ba1 Ba 0.000 0.000 0.000
Sb1 Sb 0.500 0.500 0.500
Pt1 Pt 0.000 0.500 0.500
# - Formation energy without anion corrections: -0.268 eV/atom
# - E_tot: -288.73 eV per cell
# - Crystal system: cubic

---

(5)
# CoSi2Ag | Alexandria via LeMat-Bulk | SCAN | single point on PBEsol structure
data_CoSi2Ag
_cell_length_a 5.480
_cell_length_b 6.837
_cell_length_c 2.797
_cell_angle_alpha 90.00
_cell_angle_beta 90.00
_cell_angle_gamma 90.00
_symmetry_space_group_name_H-M 'C m m m'
_symmetry_Int_Tables_number 65
_symmetry_space_group_name_Hall '-C 2 2'
loop_
_atom_site_label
_atom_site_type_symbol
_atom_site_fract_x
_atom_site_fract_y
_atom_site_fract_z
Co1 Co 0.000 0.000 0.000
Si1 Si 0.250 0.250 0.500
Ag1 Ag 0.000 0.500 0.000
# - Energy relative to the lowest polymorph listed for this composition: 0.000 eV per atom
# - Formation energy without anion corrections: 0.439 eV/atom
# - E_tot: -133.89 eV per cell
# - Crystal system: orthorhombic

---

(6)
# CuBiSb2O | Alexandria via LeMat-Bulk | SCAN | single point on PBEsol structure
data_CuBiSb2O
_cell_length_a 4.866
_cell_length_b 4.866
_cell_length_c 5.239
_cell_angle_alpha 90.00
_cell_angle_beta 90.00
_cell_angle_gamma 90.00
_symmetry_space_group_name_H-M 'P 4/m m m'
_symmetry_Int_Tables_number 123
_symmetry_space_group_name_Hall '-P 4 2'
loop_
_atom_site_label
_atom_site_type_symbol
_atom_site_fract_x
_atom_site_fract_y
_atom_site_fract_z
Cu1 Cu 0.000 0.000 0.000
Bi1 Bi 0.000 0.000 0.500
Sb1 Sb 0.000 0.500 0.000
O1 O 0.500 0.500 0.500
# - Formation energy without anion corrections: 0.800 eV/atom
# - E_tot: -170.53 eV per cell
# - Crystal system: tetragonal

---

Question: The lowest E_tot belongs to which entry?
Answer: LiFeF4

---

Question: What is the formula in the first record?
Answer: LaNiW2

---

Question: What is the E_tot in the first record?
Answer: -196.08 eV per cell

---

Question: The lowest E_tot belongs to which entry?
Answer: LiFeF4